# 1
Here is a geometry-optimized Na3CaAu structure from Alexandria. Energies are from PBE-GGA.

Values from the calculation:
* space-group type: Pm-3m (221)
* energy relative to the lowest polymorph listed for this composition: 0.756 eV per atom
* formation energy from the elements: 760 meV/atom
* crystal system: cubic

Cell lengths 6.4098, 6.4098, 6.4098 Å; angles 90.00, 90.00, 90.00 degrees
Fractional positions:
Na (0.0000, 0.0000, 0.5000)
Na (0.0000, 0.5000, 0.0000)
Na (0.5000, 0.0000, 0.0000)
Ca (0.0000, 0.0000, 0.0000)
Au (0.5000, 0.5000, 0.5000)

---

# 2
Here is a geometry-optimized VNi2Ir2 structure from Alexandria. Energies are from PBE-GGA.

Values from the calculation:
* space-group type: P4/mbm (127)
* energy relative to the lowest polymorph listed for this composition: 0.355 eV per atom
* formation energy from the elements: 106 meV/atom
* crystal system: tetragonal

Cell lengths 6.9899, 6.9899, 2.7750 Å; angles 90.00, 90.00, 90.00 degrees
Fractional positions:
V (0.0000, 0.0000, 0.0000)
V (0.5000, 0.5000, 0.0000)
Ni (0.1662, 0.3338, 0.5000)
Ni (0.3338, 0.8338, 0.5000)
Ni (0.6662, 0.1662, 0.5000)
Ni (0.8338, 0.6662, 0.5000)
Ir (0.1329, 0.6329, 0.0000)
Ir (0.3671, 0.1329, 0.0000)
Ir (0.6329, 0.8671, 0.0000)
Ir (0.8671, 0.3671, 0.0000)

---

# 3
Here is a geometry-optimized CaAcGa2Ni2 structure from Alexandria. Energies are from PBE-GGA.

Values from the calculation:
* space-group type: P-3m1 (164)
* formation energy from the elements: -425 meV/atom
* crystal system: trigonal

Cell lengths 4.3064, 4.3064, 8.0497 Å; angles 90.00, 90.00, 120.00 degrees
Fractional positions:
Ca (0.0000, 0.0000, 0.0000)
Ac (0.0000, 0.0000, 0.5000)
Ga (0.3333, 0.6667, 0.7733)
Ga (0.6667, 0.3333, 0.2267)
Ni (0.3333, 0.6667, 0.2403)
Ni (0.6667, 0.3333, 0.7597)

---

# 4
Here is a geometry-optimized YGe2OsCl structure from Alexandria. Energies are from PBE-GGA.

Values from the calculation:
* space-group type: P4/mmm (123)
* crystal system: tetragonal
* formation energy from raw total energies: 119.5 kJ/mol of atoms

Cell lengths 5.5210, 5.5210, 4.9622 Å; angles 90.00, 90.00, 90.00 degrees
Fractional positions:
Y (0.0000, 0.0000, 0.0000)
Ge (0.0000, 0.5000, 0.0000)
Ge (0.5000, 0.0000, 0.0000)
Os (0.5000, 0.5000, 0.5000)
Cl (0.0000, 0.0000, 0.5000)

---

# 5
Here is a geometry-optimized InCuP2 structure from Alexandria. Energies are from PBE-GGA.

Values from the calculation:
* space-group type: I4/mmm (139)
* formation energy from the elements: 517 meV/atom
* crystal system: tetragonal

Cell lengths 4.7937, 4.7937, 4.7937 Å; angles 126.75, 126.75, 78.66 degrees
Fractional positions:
In (0.0000, 0.0000, 0.0000)
Cu (0.5000, 0.5000, 0.0000)
P (0.2500, 0.7500, 0.5000)
P (0.7500, 0.2500, 0.5000)

---

# 6
Here is a geometry-optimized Ce3AsS2 structure from Alexandria. Energies are from PBE-GGA.

Values from the calculation:
* space-group type: Cmcm (63)
* energy relative to the lowest polymorph listed for this composition: 0.382 eV per atom
* crystal system: orthorhombic
* formation energy from raw total energies: -140.2 kJ/mol of atoms

Cell lengths 7.1901, 7.1901, 10.2141 Å; angles 90.00, 90.00, 144.72 degrees
Fractional positions:
Ce (0.1021, 0.8979, 0.7500)
Ce (0.3573, 0.6427, 0.5560)
Ce (0.3573, 0.6427, 0.9440)
Ce (0.6427, 0.3573, 0.0560)
Ce (0.6427, 0.3573, 0.4440)
Ce (0.8979, 0.1021, 0.2500)
As (0.2426, 0.7574, 0.2500)
As (0.7574, 0.2426, 0.7500)
S (0.0000, 0.0000, 0.0000)
S (0.0000, 0.0000, 0.5000)
S (0.4887, 0.5113, 0.7500)
S (0.5113, 0.4887, 0.2500)

---

no.,density (Mg/m³),spin magnetization (μB per formula unit),electronic total energy (eV per atom)
1,1.93,0.00,-1.087
2,13.54,0.00,-7.575
3,6.73,0.00,-4.379
4,5.05,2.87,-4.517
5,5.83,0.00,-3.897
6,6.09,4.69,-6.570